Material: CsMo3Br
Method: DFT, GGA-PBE
State: relaxed

Computed properties:
- relative energy among the computed polymorphs (kcal/mol of atoms) = 0.00
- formation energy from raw total energies (eV per formula unit) = 10.707
- space group = Pm-3m, No. 221

a = 4.8893 Å, b = 4.8893 Å, c = 4.8893 Å
α = 90.00°, β = 90.00°, γ = 90.00°
With the nearest neighbours (Å) after each atom.
Atoms (fractional coordinates):
Cs: 0.5000 0.5000 0.5000  12 Mo 3.46
Mo: 0.0000 0.5000 0.0000  2 Br 2.44
Mo: 0.0000 0.0000 0.5000  2 Br 2.44
Mo: 0.5000 0.0000 0.0000  2 Br 2.44
Br: 0.0000 0.0000 0.0000  6 Mo 2.44

Material: Mn2CdBr
Method: DFT, GGA-PBE
State: relaxed

Computed properties:
- relative energy among the computed polymorphs (kcal/mol of atoms) = 0.00
- formation energy from raw total energies (eV per formula unit) = 0.836
- space group = P4mm, No. 99

a = 3.2832 Å, b = 3.2832 Å, c = 7.9460 Å
α = 90.00°, β = 90.00°, γ = 90.00°
With the nearest neighbours (Å) after each atom.
Atoms (fractional coordinates):
Br: 0.0000 0.0000 0.4079  5 Mn 2.72-2.97
Cd: 0.5000 0.5000 0.8295  5 Mn 2.83-3.17
Mn: 0.0000 0.0000 0.0339  4 Mn 2.79, 4 Cd 2.83, 1 Br 2.97
Mn: 0.5000 0.5000 0.2287  4 Br 2.72, 4 Mn 2.79

Material: LiSbTeI2
Method: DFT, GGA-PBE
State: relaxed

Computed properties:
- relative energy among the computed polymorphs (kcal/mol of atoms) = 7.39
- formation energy from raw total energies (eV per formula unit) = 0.851
- space group = P4/mmm, No. 123

a = 6.3302 Å, b = 6.3302 Å, c = 5.7258 Å
α = 90.00°, β = 90.00°, γ = 90.00°
With the nearest neighbours (Å) after each atom.
Atoms (fractional coordinates):
I: 0.0000 0.5000 0.0000  2 Te 3.17
I: 0.5000 0.0000 0.0000  2 Te 3.17
Sb: 0.0000 0.0000 0.5000  2 Te 2.86
Te: 0.0000 0.0000 0.0000  2 Sb 2.86, 4 I 3.17
Li: 0.5000 0.5000 0.5000  8 I 4.27, 4 Sb 4.48

Material: NdSiP2N6
Method: DFT, GGA-PBE
State: relaxed

Computed properties:
- formation energy from raw total energies (eV per formula unit) = -6.189
- space group = C2/c, No. 15

a = 5.6835 Å, b = 7.0459 Å, c = 7.0459 Å
α = 89.05°, β = 72.26°, γ = 72.26°
With the nearest neighbours (Å) after each atom.
Atoms (fractional coordinates):
Nd: 0.2500 0.8709 0.1291  4 N 2.39-2.46
Nd: 0.7500 0.1291 0.8709  4 N 2.39-2.46
Si: 0.2500 0.2301 0.7699  4 N 1.69-1.73
Si: 0.7500 0.7699 0.2301  4 N 1.69-1.73
P: 0.3296 0.7808 0.6301  4 N 1.61-1.67
P: 0.1704 0.3699 0.2192  4 N 1.61-1.67
P: 0.6704 0.2192 0.3699  4 N 1.61-1.67
P: 0.8296 0.6301 0.7808  4 N 1.61-1.67
N: 0.2137 0.9948 0.7657  1 P 1.64, 1 Si 1.73
N: 0.2863 0.2343 0.0052  1 P 1.64, 1 Si 1.73
N: 0.7863 0.0052 0.2343  1 P 1.64, 1 Si 1.73
N: 0.7137 0.7657 0.9948  1 P 1.64, 1 Si 1.73
N: 0.4558 0.7845 0.3929  1 P 1.61, 1 Si 1.69
N: 0.0442 0.6071 0.2155  1 P 1.61, 1 Si 1.69
N: 0.5442 0.2155 0.6071  1 P 1.61, 1 Si 1.69
N: 0.9558 0.3929 0.7845  1 P 1.61, 1 Si 1.69
N: 0.0514 0.7334 0.6553  2 P 1.66-1.67
N: 0.4486 0.3447 0.2666  2 P 1.66-1.67
N: 0.9486 0.2666 0.3447  2 P 1.66-1.67
N: 0.5514 0.6553 0.7334  2 P 1.66-1.67

Material: CaRh3Pb
Method: DFT, GGA-PBE
State: relaxed

Computed properties:
- relative energy among the computed polymorphs (kcal/mol of atoms) = 0.00
- space group = Pm-3m, No. 221

a = 5.0029 Å, b = 5.0029 Å, c = 5.0029 Å
α = 90.00°, β = 90.00°, γ = 90.00°
With the nearest neighbours (Å) after each atom.
Atoms (fractional coordinates):
Pb: 0.0000 0.0000 0.0000  6 Rh 2.50
Ca: 0.5000 0.5000 0.5000  12 Rh 3.54
Rh: 0.0000 0.5000 0.0000  2 Pb 2.50
Rh: 0.0000 0.0000 0.5000  2 Pb 2.50
Rh: 0.5000 0.0000 0.0000  2 Pb 2.50

Material: K3C2
Method: DFT, GGA-PBE
State: relaxed

Computed properties:
- relative energy among the computed polymorphs (kcal/mol of atoms) = 0.40
- space group = R-3m, No. 166

a = 10.6018 Å, b = 10.6018 Å, c = 10.6018 Å
α = 24.50°, β = 24.50°, γ = 24.50°
With the nearest neighbours (Å) after each atom.
Atoms (fractional coordinates):
K: 0.0000 0.0000 0.0000  6 C 3.17
K: 0.7665 0.7665 0.7665  3 C 2.89
K: 0.2335 0.2335 0.2335  3 C 2.89
C: 0.3920 0.3920 0.3920  6 K 2.89-3.17
C: 0.6080 0.6080 0.6080  6 K 2.89-3.17

We obtain spin magnetization values of 3.65; 7.55; 0.00; 0.00; 0.75; 5.00 μB/f.u. for the records listed above, in that order.